A relaxed CaLa4Tm crystal, computed with GGA-PBE.

```
CaLa4Tm
1.0
3.7614 0.0000 0.0001
0.0000 3.7614 0.0001
-0.0006 -0.0006 15.5565
Ca Tm La
1 1 4
Cartesian
0.0000 0.0000 0.0000
1.8804 1.8804 7.7784
1.8807 1.8807 2.8698
1.8801 1.8801 12.6870
3.7609 3.7609 10.2109
-0.0001 -0.0001 5.3459
```

Its energy of formation from the pure elements is 32 meV/atom. The calculation puts the total magnetic moment at 0.00 μB/cell. The value obtained for the density of states at the Fermi level is 1.5715 states/eV per atom. For the density, the calculation gives 5.77 g cm⁻³.